(1)
This record from Alexandria via LeMat-Bulk describes a relaxed ReNiIr2 crystal. The functional is GGA-PBE.

abc: 4.671 4.671 4.655
angles: 99.66 99.66 33.79
Atoms (fractional coordinates):
1 Re 0.000 0.000 0.000
2 Ni 0.752 0.752 0.254
3 Ir 0.250 0.250 0.766
4 Ir 0.503 0.503 0.490

Properties
ΔE to the lowest computed polymorph (eV/atom): 0.1212
E (eV per atom): -9.01
Magnetic moment (μB/atom): 0.000
D(E_F) (states/eV/atom): 1.26
Symmetry: No. 8

(2)
This record from Alexandria via LeMat-Bulk describes a relaxed PrSmCo4Ni6 crystal. The functional is GGA-PBE.

abc: 3.985 4.958 8.586
angles: 90.00 90.00 90.00
Atoms (fractional coordinates):
1 Pr 0.000 0.000 0.000
2 Sm 0.000 0.500 0.500
3 Co 0.000 0.000 0.336
4 Co 0.000 0.000 0.664
5 Co 0.000 0.500 0.170
6 Co 0.000 0.500 0.830
7 Ni 0.500 0.000 0.500
8 Ni 0.500 0.251 0.252
9 Ni 0.500 0.251 0.748
10 Ni 0.500 0.500 0.000
11 Ni 0.500 0.749 0.252
12 Ni 0.500 0.749 0.748

Properties
E (eV per atom): -6.18
Magnetic moment (μB/atom): 0.651
D(E_F) (states/eV/atom): 1.73
Symmetry: No. 47

(3)
This record from Alexandria via LeMat-Bulk describes a relaxed CeSm2Ge crystal. The functional is GGA-PBE.

abc: 4.793 4.793 4.528
angles: 90.00 90.00 90.00
Atoms (fractional coordinates):
1 Ce 0.000 0.000 0.000
2 Sm 0.000 0.500 0.500
3 Sm 0.500 0.000 0.500
4 Ge 0.500 0.500 0.000

Properties
ΔE to the lowest computed polymorph (eV/atom): 0.0000
E (eV per atom): -5.33
Magnetic moment (μB/atom): 0.000
D(E_F) (states/eV/atom): 1.47
Symmetry: No. 123

(4)
This record from Alexandria via LeMat-Bulk describes a relaxed KCdSi2Tc crystal. The functional is GGA-PBE.

abc: 4.684 4.684 5.391
angles: 90.00 90.00 90.00
Atoms (fractional coordinates):
1 K 0.000 0.000 0.000
2 Cd 0.500 0.500 0.000
3 Si 0.000 0.500 0.500
4 Si 0.500 0.000 0.500
5 Tc 0.500 0.500 0.500

Properties
E (eV per atom): -4.64
Formation energy from raw total energies (kJ/mol of atoms): 0.6
Magnetic moment (μB/atom): 0.000
D(E_F) (states/eV/atom): 0.12
Symmetry: No. 123

(5)
This record from Alexandria via LeMat-Bulk describes a relaxed ZrCdTe3 crystal. The functional is GGA-PBE.

abc: 5.624 5.624 5.624
angles: 90.00 90.00 90.00
Atoms (fractional coordinates):
1 Zr 0.000 0.000 0.000
2 Cd 0.500 0.500 0.500
3 Te 0.000 0.000 0.500
4 Te 0.000 0.500 0.000
5 Te 0.500 0.000 0.000

Properties
ΔE to the lowest computed polymorph (eV/atom): 0.0000
E (eV per atom): -3.93
Formation energy from raw total energies (kJ/mol of atoms): -14.4
Magnetic moment (μB/atom): 0.000
D(E_F) (states/eV/atom): 0.61
Symmetry: No. 221

(6)
This record from Alexandria via LeMat-Bulk describes a relaxed Dy3Mg4Pt4 crystal. The functional is GGA-PBE.

abc: 8.676 8.676 8.676
angles: 154.18 124.97 61.75
Atoms (fractional coordinates):
1 Dy 0.000 0.000 0.000
2 Dy 0.388 0.888 0.500
3 Dy 0.612 0.112 0.500
4 Mg 0.019 0.327 0.691
5 Mg 0.364 0.673 0.691
6 Mg 0.636 0.327 0.309
7 Mg 0.981 0.673 0.309
8 Pt 0.240 0.240 0.000
9 Pt 0.296 0.500 0.796
10 Pt 0.704 0.500 0.204
11 Pt 0.760 0.760 0.000

Properties
E (eV per atom): -4.95
Magnetic moment (μB/atom): 0.000
D(E_F) (states/eV/atom): 0.51
Symmetry: No. 71

(7)
This record from Alexandria via LeMat-Bulk describes a relaxed LiMnIr3 crystal. The functional is GGA-PBE.

abc: 4.055 4.055 4.055
angles: 90.00 90.00 90.00
Atoms (fractional coordinates):
1 Li 0.000 0.000 0.000
2 Mn 0.500 0.500 0.500
3 Ir 0.000 0.000 0.500
4 Ir 0.000 0.500 0.000
5 Ir 0.500 0.000 0.000

Properties
ΔE to the lowest computed polymorph (eV/atom): 0.0000
E (eV per atom): -6.52
Magnetic moment (μB/atom): 0.000
D(E_F) (states/eV/atom): 1.83
Symmetry: No. 221

(8)
This record from Alexandria via LeMat-Bulk describes a relaxed Ca2TbIrO6 crystal. The functional is GGA-PBE.

abc: 5.620 5.835 9.785
angles: 90.00 124.35 90.00
Atoms (fractional coordinates):
1 Ca 0.233 0.056 0.251
2 Ca 0.233 0.444 0.751
3 Ca 0.767 0.556 0.249
4 Ca 0.767 0.944 0.749
5 Tb 0.500 0.000 0.000
6 Tb 0.500 0.500 0.500
7 Ir 0.000 0.000 0.500
8 Ir 0.000 0.500 0.000
9 O 0.117 0.217 0.938
10 O 0.117 0.283 0.438
11 O 0.230 0.687 0.944
12 O 0.230 0.813 0.444
13 O 0.343 0.044 0.732
14 O 0.343 0.456 0.232
15 O 0.657 0.544 0.768
16 O 0.657 0.956 0.268
17 O 0.770 0.187 0.556
18 O 0.770 0.313 0.056
19 O 0.883 0.717 0.562
20 O 0.883 0.783 0.062

Properties
E (eV per atom): -7.08
Formation energy from raw total energies (kJ/mol of atoms): -226.9
Magnetic moment (μB/atom): 0.203
D(E_F) (states/eV/atom): 0.35
Symmetry: No. 14

Question: Number 2 is which compound?
Answer: PrSmCo4Ni6

Copy entry 3 word for word.
This record from Alexandria via LeMat-Bulk describes a relaxed CeSm2Ge crystal. The functional is GGA-PBE.

abc: 4.793 4.793 4.528
angles: 90.00 90.00 90.00
Atoms (fractional coordinates):
1 Ce 0.000 0.000 0.000
2 Sm 0.000 0.500 0.500
3 Sm 0.500 0.000 0.500
4 Ge 0.500 0.500 0.000

Properties
ΔE to the lowest computed polymorph (eV/atom): 0.0000
E (eV per atom): -5.33
Magnetic moment (μB/atom): 0.000
D(E_F) (states/eV/atom): 1.47
Symmetry: No. 123